No. 1
The following is a DFT calculation (PBE-GGA) of a relaxed RbIrI3 crystal.

Lattice parameters (Å, degrees): 5.5737 5.5737 5.5737 90.00 90.00 90.00
Closest atoms and distances in Å follow each position.
Fractional positions:
Rb 0.5000 0.5000 0.5000  12 I 3.94
I 0.5000 0.0000 0.0000  2 Ir 2.79
I 0.0000 0.5000 0.0000  2 Ir 2.79
I 0.0000 0.0000 0.5000  2 Ir 2.79
Ir 0.0000 0.0000 0.0000  6 I 2.79

The mass density is 6.31 Mg/m³. The formation energy (no corrections) is -311 meV per atom. The value obtained for the total energy is -3.21 eV/atom. The volume comes out at 34.63 Å³ per atom. As for the symmetry: Pm-3m, No. 221.

***

No. 2
The following is a DFT calculation (PBE-GGA) of a relaxed RbIrI2 crystal.

Lattice parameters (Å, degrees): 5.5701 5.5701 5.5701 60.00 60.00 60.00
Closest atoms and distances in Å follow each position.
Fractional positions:
I 0.2500 0.2500 0.2500  4 Ir 3.41, 4 Rb 3.41
I 0.7500 0.7500 0.7500  4 Rb 3.41, 4 Ir 3.41
Ir 0.5000 0.5000 0.5000  8 I 3.41
Rb 0.0000 0.0000 0.0000  8 I 3.41

The mass density is 7.22 Mg/m³. The formation energy (no corrections) is 531 meV per atom. The value obtained for the total energy is -2.70 eV/atom. The polymorph energy (0 for the lowest one) is 0.589 eV per atom. The volume comes out at 30.55 Å³ per atom. As for the symmetry: Fm-3m, No. 225.

***

No. 3
The following is a DFT calculation (PBE-GGA) of a relaxed Rb2IrI crystal.

Lattice parameters (Å, degrees): 6.1686 6.1686 6.1686 60.00 60.00 60.00
Closest atoms and distances in Å follow each position.
Fractional positions:
Rb 0.2500 0.2500 0.2500  4 Ir 3.78, 4 I 3.78
Rb 0.7500 0.7500 0.7500  4 Ir 3.78, 4 I 3.78
Ir 0.5000 0.5000 0.5000  8 Rb 3.78
I 0.0000 0.0000 0.0000  8 Rb 3.78

The mass density is 4.90 Mg/m³. The formation energy (no corrections) is 294 meV per atom. The value obtained for the total energy is -2.79 eV/atom. The volume comes out at 41.49 Å³ per atom. As for the symmetry: Fm-3m, No. 225.

***

No. 4
The following is a DFT calculation (PBE-GGA) of a relaxed Rb3IrI6 crystal.

Lattice parameters (Å, degrees): 8.6793 8.6793 8.6790 60.00 60.00 90.00
Closest atoms and distances in Å follow each position.
Fractional positions:
Ir 0.0000 0.0000 0.0000  6 I 2.69
I 0.7805 0.7805 0.0000  1 Ir 2.69
I 0.7805 0.7805 0.4390  1 Ir 2.69
I 0.2195 0.2195 0.5610  1 Ir 2.69
I 0.2195 0.2195 0.0000  1 Ir 2.69
I 0.2195 0.7805 0.0000  1 Ir 2.69
I 0.7805 0.2195 0.0000  1 Ir 2.69
Rb 0.7500 0.2500 0.5000  12 I 4.36
Rb 0.5000 0.5000 0.0000  6 I 3.44
Rb 0.2500 0.7500 0.5000  12 I 4.36

The mass density is 4.35 Mg/m³. The formation energy (no corrections) is -843 meV per atom. The value obtained for the total energy is -2.95 eV/atom. The volume comes out at 46.23 Å³ per atom. As for the symmetry: Fm-3m, No. 225.

***

No. 5
The following is a DFT calculation (PBE-GGA) of a relaxed RbIrI2 crystal.

Lattice parameters (Å, degrees): 7.2101 7.2101 8.4717 64.82 64.82 90.00
Closest atoms and distances in Å follow each position.
Fractional positions:
Ir 0.7500 0.2500 0.5000  4 I 2.64
Ir 0.0000 0.0000 0.0000  4 I 2.64
I 0.0029 0.6250 0.2500  2 Ir 2.64
I 0.7471 0.1250 0.2500  2 Ir 2.64
I 0.3750 0.2529 0.7500  2 Ir 2.64
I 0.8750 0.9971 0.7500  2 Ir 2.64
Rb 0.2500 0.7500 0.5000  4 I 3.65
Rb 0.5000 0.5000 0.0000  4 I 3.65

The mass density is 5.02 Mg/m³. The formation energy (no corrections) is -58 meV per atom. The value obtained for the total energy is -3.29 eV/atom. The polymorph energy (0 for the lowest one) is 0.000 eV per atom. The volume comes out at 43.97 Å³ per atom. As for the symmetry: I-42d, No. 122.

***

No. 6
The following is a DFT calculation (PBE-GGA) of a relaxed Rb3IrI crystal.

Lattice parameters (Å, degrees): 6.3141 6.3141 6.3141 90.00 90.00 90.00
Closest atoms and distances in Å follow each position.
Fractional positions:
I 0.5000 0.5000 0.5000  12 Rb 4.46
Ir 0.0000 0.0000 0.0000  6 Rb 3.16
Rb 0.5000 0.0000 0.0000  2 Ir 3.16
Rb 0.0000 0.5000 0.0000  2 Ir 3.16
Rb 0.0000 0.0000 0.5000  2 Ir 3.16

The mass density is 3.80 Mg/m³. The formation energy (no corrections) is 67 meV per atom. The value obtained for the total energy is -2.60 eV/atom. The polymorph energy (0 for the lowest one) is 0.000 eV per atom. The volume comes out at 50.35 Å³ per atom. As for the symmetry: Pm-3m, No. 221.

***

Please write out number 1 again, unchanged.
The following is a DFT calculation (PBE-GGA) of a relaxed RbIrI3 crystal.

Lattice parameters (Å, degrees): 5.5737 5.5737 5.5737 90.00 90.00 90.00
Closest atoms and distances in Å follow each position.
Fractional positions:
Rb 0.5000 0.5000 0.5000  12 I 3.94
I 0.5000 0.0000 0.0000  2 Ir 2.79
I 0.0000 0.5000 0.0000  2 Ir 2.79
I 0.0000 0.0000 0.5000  2 Ir 2.79
Ir 0.0000 0.0000 0.0000  6 I 2.79

The mass density is 6.31 Mg/m³. The formation energy (no corrections) is -311 meV per atom. The value obtained for the total energy is -3.21 eV/atom. The volume comes out at 34.63 Å³ per atom. As for the symmetry: Pm-3m, No. 221.

***

- Among the records above, which one has the lowest mass density?
  Rb3IrI